(1)
Entry from Alexandria: a relaxed Pu5GaPt3 crystal (PBE).

Summary:
The symmetry is C2/m, No. 12. The value obtained for the energy of formation from the pure elements is -0.30 eV/atom. The calculation puts the magnetization at 0.678 μB/atom. The calculation puts the density of states at the Fermi level at 51.44 states/eV/f.u.

a = 7.7298 Å, b = 7.7298 Å, c = 9.3202 Å
α = 75.86°, β = 75.86°, γ = 72.16°
Last column: magnetic moment on the atom in μB.
Sites, in units of the cell vectors:
Pu  0.9902  0.3714  0.3767  5.33
Pu  0.2992  0.7008  0.0000  -5.36
Pu  0.7612  0.7612  0.0726  -5.39
Pu  0.4858  0.4858  0.3376  -5.43
Pu  0.5142  0.5142  0.6624  -5.43
Pu  0.2388  0.2388  0.9274  -5.39
Pu  0.3714  0.9902  0.3767  5.33
Pu  0.7008  0.2992  0.0000  -5.36
Pu  0.0098  0.6286  0.6233  5.33
Pu  0.6286  0.0098  0.6233  5.33
Ga  0.0730  0.0730  0.7188  -0.01
Ga  0.9270  0.9270  0.2812  -0.01
Pt  0.6657  0.6657  0.8355  0.04
Pt  0.7116  0.7116  0.4068  -0.02
Pt  0.0000  0.0000  0.0000  0.09
Pt  0.0000  0.0000  0.5000  -0.10
Pt  0.3343  0.3343  0.1645  0.04
Pt  0.2884  0.2884  0.5932  -0.02

(2)
Entry from Alexandria: a relaxed PuGa3Pt crystal (PBE).

Summary:
The symmetry is Pnma, No. 62. The value obtained for the energy of formation from the pure elements is -0.38 eV/atom. The calculation puts the magnetization at 0.000 μB/atom. The calculation puts the energy above the lowest structure with this stoichiometry at 0.199 eV/atom. The calculation puts the density of states at the Fermi level at 3.49 states/eV/f.u.

a = 3.4889 Å, b = 8.3225 Å, c = 12.1168 Å
α = 90.00°, β = 90.00°, γ = 90.00°
Sites, in units of the cell vectors:
Pu  0.7500  0.9076  0.9947
Pu  0.2500  0.5924  0.4947
Pu  0.7500  0.4076  0.5053
Pu  0.2500  0.0924  0.0053
Ga  0.2500  0.5886  0.0751
Ga  0.7500  0.4114  0.9249
Ga  0.2500  0.0886  0.4249
Ga  0.7500  0.9114  0.5751
Ga  0.2500  0.4065  0.7130
Ga  0.7500  0.0935  0.2130
Ga  0.2500  0.9065  0.7870
Ga  0.7500  0.6543  0.7031
Ga  0.2500  0.3457  0.2969
Ga  0.7500  0.1543  0.7969
Ga  0.7500  0.5935  0.2870
Ga  0.2500  0.8457  0.2031
Pt  0.2500  0.1250  0.6354
Pt  0.2500  0.6250  0.8646
Pt  0.7500  0.3750  0.1354
Pt  0.7500  0.8750  0.3646

(3)
Entry from Alexandria: a relaxed Pu2GaPt3 crystal (PBE).

Summary:
The symmetry is R-3m, No. 166. The value obtained for the energy of formation from the pure elements is -0.84 eV/atom. The calculation puts the magnetization at 1.827 μB/atom. The calculation puts the energy above the lowest structure with this stoichiometry at 0.024 eV/atom. The calculation puts the density of states at the Fermi level at 18.17 states/eV/f.u.

a = 5.3065 Å, b = 5.3065 Å, c = 5.3065 Å
α = 63.56°, β = 63.56°, γ = 63.56°
Last column: magnetic moment on the atom in μB.
Sites, in units of the cell vectors:
Pu  0.3804  0.3804  0.3804  5.30
Pu  0.6196  0.6196  0.6196  5.30
Ga  0.0000  0.0000  0.0000  -0.02
Pt  0.0000  0.0000  0.5000  -0.03
Pt  0.5000  0.0000  0.0000  -0.03
Pt  0.0000  0.5000  0.0000  -0.03

(4)
Entry from Alexandria: a relaxed PuGa3Pt crystal (PBE).

Summary:
The symmetry is I4mm, No. 107. The value obtained for the energy of formation from the pure elements is -0.58 eV/atom. The calculation puts the magnetization at 1.079 μB/atom. The calculation puts the energy above the lowest structure with this stoichiometry at 0.000 eV/atom. The calculation puts the density of states at the Fermi level at 12.61 states/eV/f.u.

a = 4.2685 Å, b = 4.2685 Å, c = 6.1436 Å
α = 110.33°, β = 110.33°, γ = 90.00°
Last column: magnetic moment on the atom in μB.
Sites, in units of the cell vectors:
Pu  0.0028  0.0028  0.0057  5.26
Ga  0.2663  0.7663  0.5326  -0.02
Ga  0.7663  0.2663  0.5326  -0.02
Ga  0.4133  0.4133  0.8266  -0.02
Pt  0.6415  0.6415  0.2831  -0.04

(5)
Entry from Alexandria: a relaxed Pu2Ga4Pt3 crystal (PBE).

Summary:
The symmetry is Cmce, No. 64. The value obtained for the energy of formation from the pure elements is -0.70 eV/atom. The calculation puts the magnetization at 1.254 μB/atom. The calculation puts the density of states at the Fermi level at 21.24 states/eV/f.u.

a = 5.7295 Å, b = 7.7159 Å, c = 8.0807 Å
α = 90.00°, β = 110.76°, γ = 90.00°
Last column: magnetic moment on the atom in μB.
Sites, in units of the cell vectors:
Pu  0.1065  0.5963  0.2129  5.28
Pu  0.8935  0.4037  0.7871  5.28
Pu  0.3935  0.0963  0.7871  5.28
Pu  0.6065  0.9037  0.2129  5.28
Ga  0.6891  0.7500  0.8783  0.03
Ga  0.8109  0.2500  0.1217  0.03
Ga  0.3109  0.2500  0.1217  0.03
Ga  0.1891  0.7500  0.8783  0.03
Ga  0.1791  0.9811  0.3582  0.01
Ga  0.8209  0.0189  0.6418  0.01
Ga  0.3209  0.4811  0.6418  0.01
Ga  0.6791  0.5189  0.3582  0.01
Pt  0.0000  0.0000  0.0000  0.04
Pt  0.5000  0.5000  0.0000  0.04
Pt  0.5188  0.7500  0.5375  -0.02
Pt  0.9812  0.2500  0.4625  -0.02
Pt  0.4812  0.2500  0.4625  -0.02
Pt  0.0188  0.7500  0.5375  -0.02

(6)
Entry from Alexandria: a relaxed Pu4Ga2Pt5 crystal (PBE).

Summary:
The symmetry is P2/m, No. 10. The value obtained for the energy of formation from the pure elements is -0.70 eV/atom. The calculation puts the magnetization at 1.950 μB/atom. The calculation puts the density of states at the Fermi level at 44.93 states/eV/f.u.

a = 3.9099 Å, b = 7.2460 Å, c = 8.2651 Å
α = 88.58°, β = 90.00°, γ = 90.00°
Last column: magnetic moment on the atom in μB.
Sites, in units of the cell vectors:
Pu  0.5000  0.7224  0.6375  5.20
Pu  0.5000  0.2350  0.8791  5.09
Pu  0.5000  0.2776  0.3625  5.20
Pu  0.5000  0.7650  0.1209  5.09
Ga  0.0000  0.0809  0.6285  0.04
Ga  0.0000  0.9191  0.3715  0.04
Pt  0.0000  0.5752  0.3415  -0.07
Pt  0.0000  0.1316  0.1279  -0.08
Pt  0.0000  0.5000  0.0000  -0.07
Pt  0.0000  0.8684  0.8721  -0.08
Pt  0.0000  0.4248  0.6585  -0.07

(7)
Entry from Alexandria: a relaxed PuGa4Pt2 crystal (PBE).

Summary:
The symmetry is Pnma, No. 62. The value obtained for the energy of formation from the pure elements is -0.69 eV/atom. The calculation puts the magnetization at 0.755 μB/atom. The calculation puts the density of states at the Fermi level at 13.45 states/eV/f.u.

a = 4.3293 Å, b = 6.6940 Å, c = 17.3372 Å
α = 90.00°, β = 90.00°, γ = 90.00°
Last column: magnetic moment on the atom in μB.
Sites, in units of the cell vectors:
Pt  0.2500  0.7514  0.5367  -0.02
Pt  0.7500  0.2486  0.4633  -0.02
Pt  0.7500  0.2514  0.9633  -0.02
Pt  0.2500  0.7486  0.0367  -0.02
Pt  0.2500  0.9710  0.7838  -0.01
Pt  0.7500  0.0290  0.2162  -0.01
Pt  0.7500  0.4710  0.7162  -0.01
Pt  0.2500  0.5290  0.2838  -0.01
Ga  0.2500  0.2698  0.6883  -0.01
Ga  0.7500  0.7302  0.3117  -0.01
Ga  0.7500  0.7698  0.8117  -0.01
Ga  0.2500  0.2302  0.1883  -0.01
Ga  0.2500  0.6775  0.6847  -0.01
Ga  0.7500  0.3225  0.3153  -0.01
Ga  0.7500  0.1775  0.8153  -0.01
Ga  0.2500  0.8225  0.1847  -0.01
Ga  0.2500  0.1537  0.5379  0.00
Ga  0.7500  0.8463  0.4621  0.00
Ga  0.7500  0.6537  0.9621  0.00
Ga  0.2500  0.3463  0.0379  0.00
Ga  0.2500  0.4865  0.4304  -0.01
Ga  0.7500  0.5135  0.5696  -0.01
Ga  0.7500  0.9865  0.0696  -0.01
Ga  0.2500  0.0135  0.9304  -0.01
Pu  0.7500  0.9830  0.6397  5.17
Pu  0.2500  0.0170  0.3603  5.17
Pu  0.2500  0.4830  0.8603  5.17
Pu  0.7500  0.5170  0.1397  5.17

(8)
Entry from Alexandria: a relaxed PuGaPt2 crystal (PBE).

Summary:
The symmetry is P2_1/m, No. 11. The value obtained for the energy of formation from the pure elements is -0.79 eV/atom. The calculation puts the magnetization at 1.369 μB/atom. The calculation puts the density of states at the Fermi level at 12.17 states/eV/f.u.

a = 3.9120 Å, b = 4.2036 Å, c = 9.8582 Å
α = 90.00°, β = 101.42°, γ = 90.00°
Last column: magnetic moment on the atom in μB.
Sites, in units of the cell vectors:
Pu  0.5919  0.2500  0.1845  5.22
Pu  0.4081  0.7500  0.8155  5.22
Ga  0.8282  0.2500  0.6556  0.01
Ga  0.1718  0.7500  0.3444  0.01
Pt  0.9559  0.2500  0.9113  -0.07
Pt  0.0441  0.7500  0.0887  -0.07
Pt  0.2463  0.2500  0.4921  0.02
Pt  0.7537  0.7500  0.5079  0.02